Entry from Alexandria: an optimized crystal structure of HfTe4Rh (PBE).

The structure in POSCAR format:
```
HfTe4Rh
1.0
6.315 0.000 0.000
0.000 3.885 0.000
-0.028 0.000 7.338
Hf Te Rh
1 4 1
direct
0.000 0.000 0.000
0.175 0.500 0.248
0.362 0.000 0.770
0.638 0.000 0.230
0.825 0.500 0.752
0.500 0.500 0.000
```

Summary:
As for the space-group type: P2/m. The volume is 180.0 Å³ per cell. Its calculated density is 7.30 Mg/m³. As for the energy relative to the elements, uncorrected: -0.550 eV per atom.



Entry from Alexandria: an optimized crystal structure of HfTeRh (PBE).

The structure in POSCAR format:
```
HfTeRh
1.0
2.097 1.211 10.228
-2.097 1.211 10.228
0.000 -2.421 10.228
Hf Te Rh
2 2 2
direct
0.055 0.055 0.055
0.945 0.945 0.945
0.224 0.224 0.224
0.776 0.776 0.776
0.334 0.334 0.334
0.666 0.666 0.666
```

Summary:
As for the space-group type: R-3m. The volume is 155.8 Å³ per cell. Its calculated density is 8.72 Mg/m³. As for the energy relative to the elements, uncorrected: -0.560 eV per atom.



Entry from Alexandria: an optimized crystal structure of Hf2VTeRh (PBE).

The structure in POSCAR format:
```
Hf2VTeRh
1.0
4.797 0.000 0.000
0.000 4.797 0.000
0.000 0.000 4.794
Hf V Te Rh
2 1 1 1
direct
0.000 0.500 0.000
0.500 0.000 0.000
0.000 0.000 0.000
0.000 0.000 0.500
0.500 0.500 0.500
```

Summary:
As for the space-group type: P4/mmm. The volume is 110.3 Å³ per cell. Its calculated density is 9.61 Mg/m³. As for the energy relative to the elements, uncorrected: 0.705 eV per atom.



Entry from Alexandria: an optimized crystal structure of HfTh2Rh9 (PBE).

The structure in POSCAR format:
```
HfTh2Rh9
1.0
4.080 0.000 0.000
0.000 4.080 0.000
0.000 0.000 12.172
Hf Th Rh
1 2 9
direct
0.000 0.000 0.000
0.000 0.000 0.329
0.000 0.000 0.671
0.000 0.500 0.154
0.000 0.500 0.500
0.000 0.500 0.846
0.500 0.000 0.154
0.500 0.000 0.500
0.500 0.000 0.846
0.500 0.500 0.000
0.500 0.500 0.327
0.500 0.500 0.673
```

Summary:
As for the space-group type: P4/mmm. The value obtained for the formation energy is -0.722 eV per atom. The volume is 202.6 Å³ per cell. Its calculated density is 12.86 Mg/m³.



Entry from Alexandria: an optimized crystal structure of HfThRh (PBE).

The structure in POSCAR format:
```
HfThRh
1.0
4.584 0.000 0.000
0.000 4.584 0.000
0.000 0.000 6.834
Hf Th Rh
2 2 2
direct
0.250 0.750 0.000
0.750 0.250 0.000
0.250 0.250 0.377
0.750 0.750 0.623
0.250 0.250 0.789
0.750 0.750 0.211
```

Summary:
As for the space-group type: P4/nmm. The value obtained for the formation energy is -0.557 eV per atom. The volume is 143.6 Å³ per cell. Its calculated density is 11.88 Mg/m³.



Entry from Alexandria: an optimized crystal structure of Hf2ThRh9 (PBE).

The structure in POSCAR format:
```
Hf2ThRh9
1.0
4.013 0.000 0.000
0.000 4.013 0.000
0.000 0.000 12.004
Hf Th Rh
2 1 9
direct
0.000 0.000 0.161
0.000 0.000 0.839
0.000 0.000 0.500
0.000 0.500 0.000
0.000 0.500 0.320
0.000 0.500 0.680
0.500 0.000 0.000
0.500 0.000 0.320
0.500 0.000 0.680
0.500 0.500 0.162
0.500 0.500 0.500
0.500 0.500 0.838
```

Summary:
As for the space-group type: P4/mmm. The value obtained for the formation energy is -0.735 eV per atom. The volume is 193.4 Å³ per cell. Its calculated density is 13.01 Mg/m³.



Entry from Alexandria: an optimized crystal structure of HfTh2Rh (PBE).

The structure in POSCAR format:
```
HfTh2Rh
1.0
3.358 0.000 0.000
-1.679 2.908 0.000
0.000 0.000 31.605
Hf Th Rh
3 6 3
direct
0.000 0.000 0.000
0.333 0.667 0.667
0.667 0.333 0.333
0.000 0.000 0.096
0.000 0.000 0.904
0.333 0.667 0.570
0.333 0.667 0.763
0.667 0.333 0.237
0.667 0.333 0.430
0.000 0.000 0.500
0.333 0.667 0.167
0.667 0.333 0.833
```

Summary:
As for the space-group type: R-3m. The value obtained for the formation energy is 0.181 eV per atom. The volume is 308.7 Å³ per cell. Its calculated density is 12.03 Mg/m³.



Entry from Alexandria: an optimized crystal structure of Hf5TiRh3 (PBE).

The structure in POSCAR format:
```
Hf5TiRh3
1.0
4.976 -4.063 0.000
4.976 4.063 0.000
-1.939 0.000 9.396
Hf Ti Rh
10 2 6
direct
0.037 0.037 0.321
0.106 0.525 0.355
0.185 0.815 0.000
0.235 0.235 0.876
0.475 0.894 0.645
0.525 0.106 0.355
0.765 0.765 0.124
0.815 0.185 0.000
0.894 0.475 0.645
0.963 0.963 0.679
0.472 0.472 0.745
0.528 0.528 0.255
0.225 0.225 0.144
0.234 0.234 0.565
0.500 0.500 0.000
0.500 0.500 0.500
0.766 0.766 0.435
0.775 0.775 0.856
```

Summary:
As for the space-group type: C2/m. The value obtained for the formation energy is -0.188 eV per atom. The volume is 379.9 Å³ per cell. Its calculated density is 10.92 Mg/m³.



Entry from Alexandria: an optimized crystal structure of HfTi4Rh5 (PBE).

The structure in POSCAR format:
```
HfTi4Rh5
1.0
3.090 0.000 0.000
0.000 3.090 0.000
0.000 0.000 16.221
Hf Ti Rh
1 4 5
direct
0.000 0.000 0.000
0.000 0.000 0.210
0.000 0.000 0.404
0.000 0.000 0.596
0.000 0.000 0.790
0.500 0.500 0.118
0.500 0.500 0.309
0.500 0.500 0.500
0.500 0.500 0.691
0.500 0.500 0.882
```

Summary:
As for the space-group type: P4/mmm. The value obtained for the formation energy is -0.760 eV per atom. The volume is 154.9 Å³ per cell. Its calculated density is 9.48 Mg/m³.



Entry from Alexandria: an optimized crystal structure of Hf2TiRh (PBE).

The structure in POSCAR format:
```
Hf2TiRh
1.0
7.482 0.000 0.000
0.000 7.482 0.000
0.000 0.000 5.758
Hf Ti Rh
8 4 4
direct
0.211 0.250 0.125
0.250 0.711 0.375
0.250 0.789 0.875
0.289 0.250 0.625
0.711 0.750 0.625
0.750 0.211 0.875
0.750 0.289 0.375
0.789 0.750 0.125
0.000 0.000 0.500
0.000 0.500 0.750
0.500 0.000 0.250
0.500 0.500 0.000
0.000 0.000 0.000
0.000 0.500 0.250
0.500 0.000 0.750
0.500 0.500 0.500
```

Summary:
As for the space-group type: I-42d. The value obtained for the formation energy is 0.000 eV per atom. The volume is 322.3 Å³ per cell. Its calculated density is 10.47 Mg/m³.



Entry from Alexandria: an optimized crystal structure of HfTi4Rh (PBE).

The structure in POSCAR format:
```
HfTi4Rh
1.0
9.756 0.000 0.000
0.000 4.561 0.000
-3.012 0.000 4.637
Hf Ti Rh
2 8 2
direct
0.000 0.000 0.000
0.500 0.500 0.000
0.157 0.500 0.818
0.199 0.500 0.343
0.301 0.000 0.657
0.343 0.000 0.182
0.657 0.000 0.818
0.699 0.000 0.343
0.801 0.500 0.657
0.843 0.500 0.182
0.000 0.000 0.500
0.500 0.500 0.500
```

Summary:
As for the space-group type: C2/m. The value obtained for the formation energy is -0.294 eV per atom. The volume is 206.4 Å³ per cell. Its calculated density is 7.61 Mg/m³.



Entry from Alexandria: an optimized crystal structure of HfTi2Rh2 (PBE).

The structure in POSCAR format:
```
HfTi2Rh2
1.0
4.460 -4.702 0.000
4.460 4.702 0.000
-4.430 0.000 4.571
Hf Ti Rh
2 4 4
direct
0.125 0.875 0.750
0.875 0.125 0.250
0.212 0.460 0.924
0.460 0.212 0.424
0.540 0.788 0.576
0.788 0.540 0.076
0.158 0.842 0.250
0.407 0.593 0.750
0.593 0.407 0.250
0.842 0.158 0.750
```

Summary:
As for the space-group type: C2/c. The value obtained for the formation energy is -0.214 eV per atom. The volume is 191.7 Å³ per cell. Its calculated density is 8.32 Mg/m³. As for the offset from the most stable computed form: 338 meV/atom.